# 1
# Cr3WAu | Alexandria | PBE-GGA | relaxed
data_Cr3WAu
_cell_length_a 4.823
_cell_length_b 4.823
_cell_length_c 4.823
_cell_angle_alpha 90.00
_cell_angle_beta 90.00
_cell_angle_gamma 90.00
_symmetry_space_group_name_H-M 'P m -3 m'
_symmetry_Int_Tables_number 221
_symmetry_space_group_name_Hall '-P 4 2 3'
loop_
_atom_site_label
_atom_site_type_symbol
_atom_site_fract_x
_atom_site_fract_y
_atom_site_fract_z
Cr1 Cr 0.000 0.000 0.500
W1 W 0.500 0.500 0.500
Au1 Au 0.000 0.000 0.000
# **Total magnetic moment**: 8.34 μB per formula unit
# **ρ**: 7.94 Mg/m³
# **E above lowest polymorph**: 514.5 meV per atom
# **Energy relative to the elements**: 1.98 eV per atom
# **Crystal system**: cubic


# 2
# ZrPbW2 | Alexandria | PBE-GGA | relaxed
data_ZrPbW2
_cell_length_a 2.984
_cell_length_b 4.926
_cell_length_c 5.466
_cell_angle_alpha 90.00
_cell_angle_beta 95.23
_cell_angle_gamma 90.00
_symmetry_space_group_name_H-M 'P 1 2/m 1'
_symmetry_Int_Tables_number 10
loop_
_symmetry_equiv_pos_as_xyz
'x,y,z'
'-x,-y,-z'
'-x,y,-z'
'x,-y,z'
loop_
_atom_site_label
_atom_site_type_symbol
_atom_site_fract_x
_atom_site_fract_y
_atom_site_fract_z
Zr1 Zr 0.000 0.000 0.000
Pb1 Pb 0.500 0.000 0.500
W1 W 0.322 0.500 0.785
# **Total magnetic moment**: 0.00 μB per formula unit
# **ρ**: 13.82 Mg/m³
# **Energy relative to the elements**: 0.52 eV per atom
# **Crystal system**: monoclinic


# 3
# AgHgW2 | Alexandria | PBE-GGA | relaxed
data_AgHgW2
_cell_length_a 3.906
_cell_length_b 3.906
_cell_length_c 4.535
_cell_angle_alpha 90.00
_cell_angle_beta 90.00
_cell_angle_gamma 90.00
_symmetry_space_group_name_H-M 'P 4/m m m'
_symmetry_Int_Tables_number 123
_symmetry_space_group_name_Hall '-P 4 2'
loop_
_atom_site_label
_atom_site_type_symbol
_atom_site_fract_x
_atom_site_fract_y
_atom_site_fract_z
Ag1 Ag 0.000 0.000 0.000
Hg1 Hg 0.500 0.500 0.000
W1 W 0.000 0.500 0.500
# **Total magnetic moment**: 0.00 μB per formula unit
# **ρ**: 16.23 Mg/m³
# **Energy relative to the elements**: 0.75 eV per atom
# **Crystal system**: tetragonal


# 4
# AsH5Cl4 | Alexandria | PBE-GGA | relaxed
data_AsH5Cl4
_cell_length_a 10.691
_cell_length_b 10.691
_cell_length_c 4.474
_cell_angle_alpha 90.00
_cell_angle_beta 90.00
_cell_angle_gamma 90.00
_symmetry_space_group_name_H-M 'I 4'
_symmetry_Int_Tables_number 79
loop_
_symmetry_equiv_pos_as_xyz
'x,y,z'
'-y,x,z'
'-x,-y,z'
'y,-x,z'
'x+1/2,y+1/2,z+1/2'
'-y+1/2,x+1/2,z+1/2'
'-x+1/2,-y+1/2,z+1/2'
'y+1/2,-x+1/2,z+1/2'
loop_
_atom_site_label
_atom_site_type_symbol
_atom_site_fract_x
_atom_site_fract_y
_atom_site_fract_z
As1 As 0.000 0.000 0.000
H1 H 0.000 0.000 0.346
H2 H 0.088 0.381 0.865
Cl1 Cl 0.093 0.682 0.538
# **Total magnetic moment**: 2.00 μB per formula unit
# **ρ**: 1.44 Mg/m³
# **Uncorrected energy**: -3.058 eV/atom
# **Crystal system**: tetragonal


Q: Number 4 is which compound?
A: AsH5Cl4